The following is a DFT calculation (PBE-GGA) of crystalline PIrI3 at its relaxed geometry.

Cell and atoms, written as extended XYZ:
```
5
Lattice="5.417 0.000 0.000 0.000 5.417 0.000 0.000 0.000 5.417" Properties=species:S:1:pos:R:3 pbc="T T T"
P 0.000 0.000 0.000
Ir 2.708 2.708 2.708
I 0.000 2.708 2.708
I 2.708 0.000 2.708
I 2.708 2.708 0.000
```

Values from the calculation:
For the spin magnetization, the calculation gives 0.293 μB per atom. The value obtained for the energy relative to the lowest polymorph listed for this composition is 0.0 kJ/mol of atoms. Its crystal system is cubic. The raw total energy comes out at -2.895 eV/atom. For the formation energy from raw total energies, the calculation gives 4.4 eV per formula unit.